## Er2NiBi (GGA-PBE)

Data for a relaxed structure of Er2NiBi.

Electronic total energy in eV per atom: -4.88
Energy of formation from the pure elements in eV per atom: -0.18
Magnetic moment in μB/cell: 0.00

Lattice parameters (Å, degrees): 3.8062 3.8062 27.9849 90.00 90.00 120.00
Closest atoms and distances in Å follow each position.
Space group R-3m (No. 166, hexagonal axes)
Symmetry-distinct sites (fractional):
Er  0.0000  0.0000  0.1135 (multiplicity 6)  3 Ni 2.65
Ni  0.0000  0.0000  0.5000 (multiplicity 3)  6 Er 2.65
Bi  0.0000  0.0000  0.0000 (multiplicity 3)  2 Er 3.18


## ErNiBiRh (GGA-PBE)

Data for a relaxed structure of ErNiBiRh.

Electronic total energy in eV per atom: -5.81
Energy of formation from the pure elements in eV per atom: -0.42
Magnetic moment in μB/cell: 0.00

Lattice parameters (Å, degrees): 6.7083 6.7083 6.7083 90.00 90.00 90.00
Closest atoms and distances in Å follow each position.
Space group F-43m (No. 216)
Symmetry-distinct sites (fractional):
Er  0.0000  0.0000  0.0000 (multiplicity 4)  4 Ni 2.90, 4 Rh 2.90
Ni  0.2500  0.2500  0.7500 (multiplicity 4)  4 Bi 2.90, 4 Er 2.90
Bi  0.0000  0.0000  0.5000 (multiplicity 4)  4 Rh 2.90, 4 Ni 2.90
Rh  0.2500  0.2500  0.2500 (multiplicity 4)  4 Bi 2.90, 4 Er 2.90


## Er5NpBi6 (GGA-PBE)

Data for a relaxed structure of Er5NpBi6.

Electronic total energy in eV per atom: -5.57
Energy of formation from the pure elements in eV per atom: -0.65
Magnetic moment in μB/cell: 7.73

Lattice parameters (Å, degrees): 7.7285 13.3854 7.7292 90.00 109.46 90.00
Closest atoms and distances in Å follow each position.
Space group C2/m (No. 12)
Symmetry-distinct sites (fractional):
Er  0.0000  0.0000  0.0000 (multiplicity 2)  6 Bi 3.14-3.15
Er  0.0000  0.1669  0.5000 (multiplicity 4)  6 Bi 3.15-3.16
Er  0.0000  0.3344  0.0000 (multiplicity 4)  6 Bi 3.14-3.15
Np  0.0000  0.5000  0.5000 (multiplicity 2)  6 Bi 3.17-3.18
Bi  0.2475  0.0000  0.7502 (multiplicity 4)  5 Er 3.14-3.15, 1 Np 3.17
Bi  0.2479  0.1678  0.2478 (multiplicity 8)  5 Er 3.14-3.16, 1 Np 3.18


## Er2NpBi3 (GGA-PBE)

Data for a relaxed structure of Er2NpBi3.

Electronic total energy in eV per atom: -6.11
Energy of formation from the pure elements in eV per atom: -0.50
Magnetic moment in μB/cell: 63.61

Lattice parameters (Å, degrees): 8.9541 12.6461 26.8084 90.00 90.00 90.00
Closest atoms and distances in Å follow each position.
Space group Fddd (No. 70, origin choice 2)
Symmetry-distinct sites (fractional):
Er  0.1250  0.1250  0.0415 (multiplicity 16)  6 Bi 3.14-3.16
Er  0.1250  0.1250  0.3755 (multiplicity 16)  6 Bi 3.15-3.16
Np  0.1250  0.1250  0.5416 (multiplicity 16)  6 Bi 3.18-3.19
Bi  0.1214  0.3750  0.3750 (multiplicity 16)  4 Er 3.14-3.16, 2 Np 3.19
Bi  0.1228  0.3737  0.2078 (multiplicity 32)  4 Er 3.14-3.16, 2 Np 3.18-3.19


## Er3NpBi4 (GGA-PBE)

Data for a relaxed structure of Er3NpBi4.

Electronic total energy in eV per atom: -5.84
Energy of formation from the pure elements in eV per atom: -0.57
Magnetic moment in μB/cell: 7.91

Lattice parameters (Å, degrees): 8.9574 12.6213 4.4610 90.00 90.00 90.00
Closest atoms and distances in Å follow each position.
Space group Cmmm (No. 65)
Symmetry-distinct sites (fractional):
Er  0.0000  0.0000  0.0000 (multiplicity 2)  6 Bi 3.14
Er  0.2500  0.2500  0.5000 (multiplicity 4)  6 Bi 3.16
Np  0.0000  0.5000  0.0000 (multiplicity 2)  6 Bi 3.17-3.18
Bi  0.0000  0.2488  0.0000 (multiplicity 4)  5 Er 3.14-3.16, 1 Np 3.17
Bi  0.2463  0.0000  0.5000 (multiplicity 4)  4 Er 3.14-3.16, 2 Np 3.18


## ErNpBi (GGA-PBE)

Data for a relaxed structure of ErNpBi.

Electronic total energy in eV per atom: -7.38
Energy of formation from the pure elements in eV per atom: -0.25
Magnetic moment in μB/cell: 8.88

Lattice parameters (Å, degrees): 4.3075 4.3075 8.9271 90.00 90.00 90.00
Closest atoms and distances in Å follow each position.
Space group P4/nmm (No. 129, origin choice 2)
Symmetry-distinct sites (fractional):
Er  0.2500  0.2500  0.1435 (multiplicity 2)  5 Bi 3.11-3.17
Np  0.2500  0.7500  0.5000 (multiplicity 2)  4 Np 3.05, 4 Bi 3.35
Bi  0.2500  0.2500  0.7881 (multiplicity 2)  5 Er 3.11-3.17, 4 Np 3.35


## ErBiO2 (GGA-PBE)

Data for a relaxed structure of ErBiO2.

Electronic total energy in eV per atom: -7.03
Magnetic moment in μB/cell: 0.00
Raw formation energy in eV per atom: -2.44

Lattice parameters (Å, degrees): 3.4857 3.4857 20.8493 90.00 90.00 120.00
Closest atoms and distances in Å follow each position.
Space group R-3m (No. 166, hexagonal axes)
Symmetry-distinct sites (fractional):
Er  0.0000  0.0000  0.0000 (multiplicity 3)  6 O 2.28
Bi  0.0000  0.0000  0.5000 (multiplicity 3)  2 O 2.41
O  0.0000  0.0000  0.3846 (multiplicity 6)  3 Er 2.28, 1 Bi 2.41


## Er4Bi3O (GGA-PBE)

Data for a relaxed structure of Er4Bi3O.

Electronic total energy in eV per atom: -5.52
Magnetic moment in μB/cell: 0.00
Raw formation energy in eV per atom: -1.16

Lattice parameters (Å, degrees): 12.0470 6.2454 6.2411 90.00 90.00 90.00
Closest atoms and distances in Å follow each position.
Space group Pmn2_1 (No. 31)
Symmetry-distinct sites (fractional):
Er  0.0000  0.1455  0.0000 (multiplicity 2)  1 O 2.08
Er  0.0000  0.7498  0.6041 (multiplicity 2)  1 O 2.08
Er  0.2458  0.7659  0.9923 (multiplicity 4)  1 O 3.01, 5 Bi 3.06-3.13
Bi  0.0000  0.2486  0.4999 (multiplicity 2)  6 Er 3.06-3.20
Bi  0.2495  0.2651  0.9917 (multiplicity 4)  6 Er 3.10-3.13
O  0.0000  0.8196  0.9304 (multiplicity 2)  2 Er 2.08


## Er4Bi6O19 (GGA-PBE)

Data for a relaxed structure of Er4Bi6O19.

Electronic total energy in eV per atom: -6.35
Magnetic moment in μB/cell: 0.00
Raw formation energy in eV per atom: -1.67

Lattice parameters (Å, degrees): 9.6399 9.6399 9.6399 90.00 90.00 90.00
Closest atoms and distances in Å follow each position.
Space group I23 (No. 197)
Symmetry-distinct sites (fractional):
Er  0.1419  0.1419  0.8581 (multiplicity 8)  4 O 2.18-2.37
Bi  0.0000  0.3227  0.5000 (multiplicity 12)  6 O 2.22-2.23
O  0.0000  0.0000  0.0000 (multiplicity 2)  4 Er 2.37
O  0.0000  0.0000  0.3534 (multiplicity 12)  2 Bi 2.22
O  0.0436  0.2959  0.7240 (multiplicity 24)  1 Er 2.18, 2 Bi 2.22-2.23


## Er2BiO (GGA-PBE)

Data for a relaxed structure of Er2BiO.

Electronic total energy in eV per atom: -6.05
Magnetic moment in μB/cell: 0.00
Raw formation energy in eV per atom: -1.55

Lattice parameters (Å, degrees): 3.6053 3.6053 22.4038 90.00 90.00 120.00
Closest atoms and distances in Å follow each position.
Space group R-3m (No. 166, hexagonal axes)
Symmetry-distinct sites (fractional):
Er  0.0000  0.0000  0.2221 (multiplicity 6)  3 O 2.42
Bi  0.0000  0.0000  0.0000 (multiplicity 3)  6 Er 3.25, 6 Bi 3.61
O  0.0000  0.0000  0.5000 (multiplicity 3)  6 Er 2.42


## ErBi2O6 (GGA-PBE)

Data for a relaxed structure of ErBi2O6.

Electronic total energy in eV per atom: -6.27
Magnetic moment in μB/cell: 0.00
Raw formation energy in eV per atom: -1.59

Lattice parameters (Å, degrees): 3.8206 3.8206 16.2479 90.00 90.00 90.00
Closest atoms and distances in Å follow each position.
Space group I4/mmm (No. 139)
Symmetry-distinct sites (fractional):
Er  0.0000  0.0000  0.0000 (multiplicity 2)  8 O 2.35
Bi  0.0000  0.0000  0.3383 (multiplicity 4)  8 O 2.29-2.39
O  0.0000  0.5000  0.0842 (multiplicity 8)  2 Bi 2.29, 2 Er 2.35
O  0.0000  0.5000  0.2500 (multiplicity 4)  4 Bi 2.39


## ErBi12O20 (GGA-PBE)

Data for a relaxed structure of ErBi12O20.

Electronic total energy in eV per atom: -5.89
Magnetic moment in μB/cell: 0.00
Raw formation energy in eV per atom: -1.33

Lattice parameters (Å, degrees): 10.3132 10.3132 10.3132 90.00 90.00 90.00
Closest atoms and distances in Å follow each position.
Space group I23 (No. 197)
Symmetry-distinct sites (fractional):
Er  0.0000  0.0000  0.0000 (multiplicity 2)  4 O 2.17
Bi  0.0044  0.1746  0.3175 (multiplicity 24)  3 O 2.10-2.32
O  0.0127  0.3675  0.7469 (multiplicity 24)  2 Bi 2.10-2.32
O  0.1215  0.1215  0.8785 (multiplicity 8)  1 Er 2.17
O  0.1697  0.1697  0.1697 (multiplicity 8)  3 Bi 2.29


## Er2Bi2O7 (GGA-PBE)

Data for a relaxed structure of Er2Bi2O7.

Electronic total energy in eV per atom: -6.83
Magnetic moment in μB/cell: 0.00
Raw formation energy in eV per atom: -2.14

Lattice parameters (Å, degrees): 7.4048 8.1634 5.3518 90.00 95.64 90.00
Closest atoms and distances in Å follow each position.
Space group Cm (No. 8)
Symmetry-distinct sites (fractional):
Er  0.0000  0.2329  0.0000 (multiplicity 4)  5 O 2.20-2.34
Bi  0.2644  0.0000  0.4698 (multiplicity 2)  3 O 2.17-2.30
Bi  0.2724  0.5000  0.4937 (multiplicity 2)  5 O 2.10-2.19
O  0.0213  0.0000  0.7500 (multiplicity 2)  1 Bi 2.19, 2 Er 2.34
O  0.0537  0.5000  0.2117 (multiplicity 2)  1 Bi 2.10
O  0.2077  0.3063  0.7263 (multiplicity 4)  1 Bi 2.10, 1 Er 2.30
O  0.2665  0.2066  0.2160 (multiplicity 4)  1 Bi 2.17, 2 Er 2.20-2.23
O  0.4834  0.5000  0.2457 (multiplicity 2)  2 Bi 2.15-2.30, 2 Er 2.32


## ErBiOsO6 (GGA-PBE)

Data for a relaxed structure of ErBiOsO6.

Electronic total energy in eV per atom: -7.23
Magnetic moment in μB/cell: 3.83
Raw formation energy in eV per atom: -1.74

Lattice parameters (Å, degrees): 5.5240 5.5240 9.6623 90.00 90.00 120.00
Closest atoms and distances in Å follow each position.
Space group P-31c (No. 163)
Symmetry-distinct sites (fractional):
Er  0.3333  0.6667  0.2500 (multiplicity 2)  6 O 2.23
Bi  0.0000  0.0000  0.0000 (multiplicity 2)  6 O 2.39
Os  0.3333  0.6667  0.7500 (multiplicity 2)  6 O 1.95
O  0.0383  0.3778  0.6364 (multiplicity 12)  1 Os 1.95


## ErBi2OsO8 (GGA-PBE)

Data for a relaxed structure of ErBi2OsO8.

Electronic total energy in eV per atom: -6.85
Magnetic moment in μB/cell: 0.00
Raw formation energy in eV per atom: -1.58

Lattice parameters (Å, degrees): 5.2021 6.6920 5.2185 90.00 90.91 90.00
Closest atoms and distances in Å follow each position.
Space group P2/m (No. 10)
Symmetry-distinct sites (fractional):
Er  0.0000  0.0000  0.0000 (multiplicity 1)  6 O 2.28
Bi  0.5000  0.2508  0.5000 (multiplicity 2)  4 O 2.21-2.36
Os  0.0000  0.5000  0.0000 (multiplicity 1)  6 O 1.82-1.97
O  0.1757  0.2788  0.1816 (multiplicity 4)  1 Os 1.97
O  0.2502  0.5000  0.7601 (multiplicity 2)  1 Os 1.82
O  0.3088  0.0000  0.6954 (multiplicity 2)  2 Bi 2.21, 1 Er 2.28


## Er2PaBiO8 (GGA-PBE)

Data for a relaxed structure of Er2PaBiO8.

Electronic total energy in eV per atom: -7.97
Magnetic moment in μB/cell: 0.00
Raw formation energy in eV per atom: -2.79

Lattice parameters (Å, degrees): 7.0375 7.2818 6.9986 90.00 90.00 90.00
Closest atoms and distances in Å follow each position.
Space group Cmmm (No. 65)
Symmetry-distinct sites (fractional):
Er  0.0000  0.0000  0.2470 (multiplicity 4)  6 O 2.24-2.27
Pa  0.0000  0.5000  0.5000 (multiplicity 2)  6 O 2.12-2.26
Bi  0.0000  0.5000  0.0000 (multiplicity 2)  6 O 2.10-2.19
O  0.0000  0.3114  0.2443 (multiplicity 8)  1 Bi 2.19, 1 Pa 2.26, 1 Er 2.27
O  0.1993  0.0000  0.5000 (multiplicity 4)  1 Pa 2.12, 2 Er 2.26
O  0.2022  0.0000  0.0000 (multiplicity 4)  1 Bi 2.10, 2 Er 2.24


## ErPaBiO6 (GGA-PBE)

Data for a relaxed structure of ErPaBiO6.

Electronic total energy in eV per atom: -8.02
Magnetic moment in μB/cell: 0.00
Raw formation energy in eV per atom: -2.72

Lattice parameters (Å, degrees): 5.1390 5.1390 10.5981 90.00 90.00 90.00
Closest atoms and distances in Å follow each position.
Space group P4_2nm (No. 102)
Symmetry-distinct sites (fractional):
Er  0.0000  0.0000  0.0000 (multiplicity 2)  6 O 2.25-2.27
Pa  0.0000  0.0000  0.6655 (multiplicity 2)  6 O 2.19-2.20
Bi  0.0000  0.0000  0.3321 (multiplicity 2)  6 O 2.28-2.29
O  0.1869  0.1869  0.8281 (multiplicity 4)  1 Pa 2.19, 1 Er 2.27, 1 Bi 2.28
O  0.1901  0.1901  0.5036 (multiplicity 4)  1 Pa 2.20, 1 Er 2.25, 1 Bi 2.28
O  0.1992  0.1992  0.1647 (multiplicity 4)  1 Pa 2.19, 1 Er 2.27, 1 Bi 2.29


## ErPaBi2O6 (GGA-PBE)

Data for a relaxed structure of ErPaBi2O6.

Electronic total energy in eV per atom: -7.48
Magnetic moment in μB/cell: 0.00
Raw formation energy in eV per atom: -2.32

Lattice parameters (Å, degrees): 10.4533 5.9008 6.2882 90.00 126.23 90.00
Closest atoms and distances in Å follow each position.
Space group C2/m (No. 12)
Symmetry-distinct sites (fractional):
Er  0.0000  0.0000  0.0000 (multiplicity 2)  6 O 2.27-2.28
Pa  0.0000  0.5000  0.5000 (multiplicity 2)  6 O 2.17-2.26
Bi  0.2384  0.0000  0.7586 (multiplicity 4)  5 O 2.46-2.56
O  0.0813  0.2532  0.8314 (multiplicity 8)  1 Pa 2.26, 1 Er 2.27, 1 Bi 2.46
O  0.2443  0.5000  0.6299 (multiplicity 4)  1 Pa 2.17, 1 Er 2.28


## ErBiPb2O6 (GGA-PBE)

Data for a relaxed structure of ErBiPb2O6.

Electronic total energy in eV per atom: -6.21
Magnetic moment in μB/cell: 0.00
Raw formation energy in eV per atom: -1.65

Lattice parameters (Å, degrees): 5.9623 6.0707 10.3985 90.00 124.88 90.00
Closest atoms and distances in Å follow each position.
Space group P2_1/c (No. 14)
Symmetry-distinct sites (fractional):
Er  0.0000  0.0000  0.0000 (multiplicity 2)  6 O 2.24-2.25
Bi  0.5000  0.0000  0.5000 (multiplicity 2)  6 O 2.15
Pb  0.2459  0.0334  0.7510 (multiplicity 4)  4 O 2.51-2.75
O  0.1654  0.1995  0.4564 (multiplicity 4)  1 Bi 2.15, 1 Er 2.24
O  0.2635  0.7084  0.4576 (multiplicity 4)  1 Bi 2.15, 1 Er 2.25
O  0.3429  0.0229  0.2556 (multiplicity 4)  1 Bi 2.15, 1 Er 2.25